Material: SbMoP2
Method: DFT, GGA-PBE
State: optimized geometry

Results
D(E_F) (states/eV per cell): 12.69
Uncorrected energy (eV/atom): -5.809
Energy relative to the elements, uncorrected (eV per atom): 0.634

Cell: 6.462 6.462 6.462 Å, 90.00 90.00 90.00°
Space group F-43m (No. 216)
Asymmetric unit:
Sb  0.000  0.000  0.000 x4
Mo  0.250  0.250  0.250 x4
P  0.000  0.000  0.500 x4
P  0.250  0.250  0.750 x4